This record from Alexandria describes a relaxed structure of Cd2Ni2BiO6. The functional is GGA+U.

Cell lengths 5.5354, 5.5354, 5.8367 Å; angles 100.12, 100.12, 119.74 degrees
Last column: magnetic moment on the atom in μB.
Fractional positions:
1 O 0.5841 0.9465 0.2866  0.12
2 O 0.0535 0.4159 0.7134  0.12
3 O 0.9465 0.5841 0.2866  0.12
4 O 0.2609 0.2609 0.2826  0.12
5 O 0.4159 0.0535 0.7134  0.12
6 O 0.7391 0.7391 0.7174  0.12
7 Ni 0.6646 0.3354 0.5000  1.76
8 Ni 0.3354 0.6646 0.5000  1.76
9 Cd 0.8278 0.1722 0.0000  0.02
10 Cd 0.1722 0.8278 0.0000  0.02
11 Bi 0.0000 0.0000 0.5000  0.06

**Final energy**: -4.65 eV/atom